This record from Alexandria describes a geometry-optimized Cu3Ir structure. The functional is GGA-PBE.

a b c (Å): 2.6979 2.6979 14.0235
angles (deg): 90.00 90.00 90.00
Sites, in units of the cell vectors:
Cu 0.2500 0.2500 0.0602
Cu 0.2500 0.2500 0.2996
Cu 0.2500 0.2500 0.8205
Cu 0.7500 0.7500 0.1795
Cu 0.7500 0.7500 0.7004
Cu 0.7500 0.7500 0.9398
Ir 0.2500 0.2500 0.5658
Ir 0.7500 0.7500 0.4342

Computed properties:
Electronic total energy   -5.25 eV per atom
Symmetry   P4/nmm
M_tot   0.0 Bohr magnetons per cell


This record from Alexandria describes a geometry-optimized Cu3Ir structure. The functional is GGA-PBE.

a b c (Å): 4.9250 4.9250 4.9250
angles (deg): 117.11 117.11 117.11
Sites, in units of the cell vectors:
Cu 0.0000 0.5000 0.5000
Cu 0.5000 0.0000 0.5000
Cu 0.5000 0.5000 0.0000
Ir 0.0000 0.0000 0.0000

Computed properties:
Electronic total energy   -5.14 eV per atom
Symmetry   R-3m
M_tot   0.0 Bohr magnetons per cell


This record from Alexandria describes a geometry-optimized Cu3Ir structure. The functional is GGA-PBE.

a b c (Å): 8.5659 8.5659 8.5659
angles (deg): 17.83 17.83 17.83
Sites, in units of the cell vectors:
Cu 0.0000 0.0000 0.0000
Cu 0.2527 0.2527 0.2527
Cu 0.7473 0.7473 0.7473
Ir 0.5000 0.5000 0.5000

Computed properties:
Electronic total energy   -5.23 eV per atom
Symmetry   R-3m
M_tot   0.0 Bohr magnetons per cell


This record from Alexandria describes a geometry-optimized Cu3Ir2 structure. The functional is GGA-PBE.

a b c (Å): 10.7160 10.7160 10.7160
angles (deg): 14.42 14.42 14.42
Sites, in units of the cell vectors:
Cu 0.0000 0.0000 0.0000
Cu 0.3969 0.3969 0.3969
Cu 0.6031 0.6031 0.6031
Ir 0.2015 0.2015 0.2015
Ir 0.7985 0.7985 0.7985

Computed properties:
Symmetry   R-3m
Offset from the most stable computed form   0.0000 eV/atom
M_tot   0.0 Bohr magnetons per cell